Below is crystalline CsLaRh3 at its relaxed geometry, with properties calculated at the PBE level.

Values from the calculation:
Uncorrected energy   -22.0 eV for the cell shown
Volume   125 Å³/f.u.
Formation energy   1.167 eV per atom

Cell and atoms, written as POSCAR:
```
CsLaRh3
1.0
5.0031 0.0000 0.0000
0.0000 5.0031 0.0000
0.0000 0.0000 5.0031
Cs Rh La
1 3 1
direct
0.0000 0.0000 0.0000
0.0000 0.5000 0.0000
0.0000 0.0000 0.5000
0.5000 0.0000 0.0000
0.5000 0.5000 0.5000
```